Material: Zr5Tc4Pb
Method: DFT, GGA-PBE
State: optimized geometry

Cell lengths 3.336, 3.336, 17.246 Å; angles 90.00, 90.00, 90.00 degrees
Positions (direct):
Zr 0.000 0.000 0.000
Zr 0.000 0.000 0.188
Zr 0.000 0.000 0.373
Zr 0.000 0.000 0.627
Zr 0.000 0.000 0.812
Tc 0.500 0.500 0.095
Tc 0.500 0.500 0.287
Tc 0.500 0.500 0.713
Tc 0.500 0.500 0.905
Pb 0.500 0.500 0.500

Properties
DOS at the Fermi energy, states/eV/f.u.: 9.135
M_tot, μB per atom: 0.0000
Calculated formation energy, eV per atom: -0.315